Material: Sr2TeI2
Method: DFT, GGA-PBE
State: optimized geometry

The space group is C2/m (No. 12) and the conventional cell measures 8.291, 4.786 and 11.562 Å, with angles of 90.00, 90.59 and 90.00 degrees. The distinct sites, in fractional coordinates, are Sr at (0.169, 0.000, 0.168), Te at (0.000, 0.500, 0.000) and I at (0.162, 0.000, 0.676).

The calculation puts the density of states at the Fermi level at 0.00 states/eV/cell. Its uncorrected formation energy is -1.722 eV per atom. The value obtained for the raw total energy is -0.13388 hartree per atom.


Material: SrTeI2
Method: DFT, GGA-PBE
State: optimized geometry

The space group is I-42d (No. 122) and the conventional cell measures 5.456, 5.456 and 22.047 Å, with angles of 90.00, 90.00 and 90.00 degrees. The distinct sites, in fractional coordinates, are Sr at (0.000, 0.000, 0.000), Te at (0.000, 0.000, 0.500) and I at (0.247, 0.250, 0.625).

The calculation puts the density of states at the Fermi level at 2.66 states/eV/cell. Its uncorrected formation energy is -0.745 eV per atom. The value obtained for the raw total energy is -0.10018 hartree per atom. Its offset from the most stable computed form is 0.000 eV per atom.


Material: Sr3TeI
Method: DFT, GGA-PBE
State: optimized geometry

The space group is Pm-3m (No. 221) and the conventional cell measures 6.360, 6.360 and 6.360 Å, with angles of 90.00, 90.00 and 90.00 degrees. The distinct sites, in fractional coordinates, are Sr at (0.000, 0.000, 0.500), Te at (0.000, 0.000, 0.000) and I at (0.500, 0.500, 0.500).

The calculation puts the density of states at the Fermi level at 7.10 states/eV/cell. Its uncorrected formation energy is -0.620 eV per atom. The value obtained for the raw total energy is -0.09436 hartree per atom.


Material: Sr4Te2I5
Method: DFT, GGA-PBE
State: optimized geometry

The space group is C2/m (No. 12) and the conventional cell measures 19.853, 5.118 and 11.581 Å, with angles of 90.00, 106.08 and 90.00 degrees. The distinct sites, in fractional coordinates, are Sr at (0.014, 0.000, 0.296), Sr at (0.156, 0.500, 0.077), Te at (0.001, 0.500, 0.866), I at (0.000, 0.500, 0.500), I at (0.170, 0.000, 0.880) and I at (0.179, 0.000, 0.278).

The calculation puts the density of states at the Fermi level at 4.92 states/eV/cell. Its uncorrected formation energy is -1.491 eV per atom. The value obtained for the raw total energy is -0.12415 hartree per atom.


Material: SrTe2I8
Method: DFT, GGA-PBE
State: optimized geometry

The space group is P-3 (No. 147) and the conventional cell measures 9.8950, 9.8950 and 6.4484 Å, with angles of 90.00, 90.00 and 120.00 degrees. The distinct sites, in fractional coordinates, are Sr at (0.0000, 0.0000, 0.0000), Te at (0.3333, 0.6667, 0.2262), I at (0.1625, 0.8350, 0.2766) and I at (0.3333, 0.6667, 0.7380).

The calculation puts the density of states at the Fermi level at 3.18 states/eV/cell. Its uncorrected formation energy is -0.331 eV per atom. The value obtained for the raw total energy is -0.08020 hartree per atom. Its offset from the most stable computed form is 0.058 eV per atom.


Material: SrTe3I
Method: DFT, GGA-PBE
State: optimized geometry

The space group is Pm-3m (No. 221) and the conventional cell measures 6.418, 6.418 and 6.418 Å, with angles of 90.00, 90.00 and 90.00 degrees. The distinct sites, in fractional coordinates, are Sr at (0.000, 0.000, 0.000), Te at (0.000, 0.000, 0.500) and I at (0.500, 0.500, 0.500).

The calculation puts the density of states at the Fermi level at 2.98 states/eV/cell. Its uncorrected formation energy is 0.207 eV per atom. The value obtained for the raw total energy is -0.08541 hartree per atom. Its offset from the most stable computed form is 0.295 eV per atom.


Material: Sr4Te3I
Method: DFT, GGA-PBE
State: optimized geometry

The space group is I4/mmm (No. 139) and the conventional cell measures 6.687, 6.687 and 13.404 Å, with angles of 90.00, 90.00 and 90.00 degrees. The distinct sites, in fractional coordinates, are Sr at (0.000, 0.000, 0.242), Sr at (0.000, 0.500, 0.000), Te at (0.000, 0.000, 0.000), Te at (0.000, 0.500, 0.250) and I at (0.000, 0.000, 0.500).

The calculation puts the density of states at the Fermi level at 6.35 states/eV/cell. Its uncorrected formation energy is -1.596 eV per atom. The value obtained for the raw total energy is -0.13996 hartree per atom.


Material: Sr2Te2I
Method: DFT, GGA-PBE
State: optimized geometry

The space group is P4/mbm (No. 127) and the conventional cell measures 9.041, 9.041 and 4.530 Å, with angles of 90.00, 90.00 and 90.00 degrees. The distinct sites, in fractional coordinates, are Sr at (0.168, 0.332, 0.000), Te at (0.125, 0.625, 0.500) and I at (0.000, 0.000, 0.000).

The calculation puts the density of states at the Fermi level at 0.00 states/eV/cell. Its uncorrected formation energy is -1.365 eV per atom. The value obtained for the raw total energy is -0.13244 hartree per atom. Its offset from the most stable computed form is 0.000 eV per atom.


Material: Sr7TeI12
Method: DFT, GGA-PBE
State: optimized geometry

The space group is R-3 (No. 148, hexagonal axes) and the conventional cell measures 17.1317, 17.1317 and 11.7446 Å, with angles of 90.00, 90.00 and 120.00 degrees. The distinct sites, in fractional coordinates, are Sr at (0.0000, 0.0000, 0.0000), Sr at (0.0445, 0.1807, 0.3327), Te at (0.0000, 0.0000, 0.5000), I at (0.0295, 0.5856, 0.1582) and I at (0.0434, 0.1700, 0.8285).

The calculation puts the density of states at the Fermi level at 0.00 states/eV/cell. Its uncorrected formation energy is -1.692 eV per atom. The value obtained for the raw total energy is -0.12376 hartree per atom.


Material: Sr2Te2I
Method: DFT, GGA-PBE
State: optimized geometry

The space group is P4/mbm (No. 127) and the conventional cell measures 9.323, 9.323 and 4.248 Å, with angles of 90.00, 90.00 and 90.00 degrees. The distinct sites, in fractional coordinates, are Sr at (0.157, 0.343, 0.000), Te at (0.144, 0.644, 0.500) and I at (0.000, 0.000, 0.500).

The calculation puts the density of states at the Fermi level at 7.90 states/eV/cell. Its uncorrected formation energy is -1.211 eV per atom. The value obtained for the raw total energy is -0.12681 hartree per atom. Its offset from the most stable computed form is 0.153 eV per atom.


Material: SrTiTeI2
Method: DFT, GGA-PBE
State: optimized geometry

The space group is P4/mmm (No. 123) and the conventional cell measures 6.090, 6.090 and 6.414 Å, with angles of 90.00, 90.00 and 90.00 degrees. The distinct sites, in fractional coordinates, are Sr at (0.000, 0.000, 0.000), Ti at (0.500, 0.500, 0.500), Te at (0.000, 0.000, 0.500) and I at (0.000, 0.500, 0.000).

The calculation puts the density of states at the Fermi level at 12.07 states/eV/cell. Its uncorrected formation energy is 0.122 eV per atom. The value obtained for the raw total energy is -0.11177 hartree per atom. Its offset from the most stable computed form is 0.896 eV per atom.


Material: SrTiTeI2
Method: DFT, GGA-PBE
State: optimized geometry

The space group is P4/mmm (No. 123) and the conventional cell measures 5.625, 5.625 and 5.595 Å, with angles of 90.00, 90.00 and 90.00 degrees. The distinct sites, in fractional coordinates, are Sr at (0.000, 0.000, 0.000), Ti at (0.500, 0.500, 0.500), Te at (0.500, 0.500, 0.000) and I at (0.000, 0.500, 0.500).

The calculation puts the density of states at the Fermi level at 3.84 states/eV/cell. Its uncorrected formation energy is -0.773 eV per atom. The value obtained for the raw total energy is -0.14469 hartree per atom. Its offset from the most stable computed form is 0.000 eV per atom.


Material: SrVTeI2
Method: DFT, GGA-PBE
State: optimized geometry

The space group is P4/mmm (No. 123) and the conventional cell measures 6.179, 6.179 and 6.470 Å, with angles of 90.00, 90.00 and 90.00 degrees. The distinct sites, in fractional coordinates, are Sr at (0.000, 0.000, 0.000), V at (0.500, 0.500, 0.500), Te at (0.000, 0.000, 0.500) and I at (0.000, 0.500, 0.000).

The calculation puts the density of states at the Fermi level at 4.34 states/eV/cell. Its uncorrected formation energy is 0.112 eV per atom. The value obtained for the raw total energy is -0.12113 hartree per atom. Its offset from the most stable computed form is 0.762 eV per atom.


Material: SrVTe2I
Method: DFT, GGA-PBE
State: optimized geometry

The space group is P4/mmm (No. 123) and the conventional cell measures 5.402, 5.402 and 5.631 Å, with angles of 90.00, 90.00 and 90.00 degrees. The distinct sites, in fractional coordinates, are Sr at (0.000, 0.000, 0.000), V at (0.500, 0.500, 0.500), Te at (0.000, 0.500, 0.500) and I at (0.500, 0.500, 0.000).

The calculation puts the density of states at the Fermi level at 5.23 states/eV/cell. Its uncorrected formation energy is -0.593 eV per atom. The value obtained for the raw total energy is -0.15875 hartree per atom. Its offset from the most stable computed form is 0.000 eV per atom.


Material: SrVTeI2
Method: DFT, GGA-PBE
State: optimized geometry

The space group is P4/mmm (No. 123) and the conventional cell measures 5.510, 5.510 and 5.681 Å, with angles of 90.00, 90.00 and 90.00 degrees. The distinct sites, in fractional coordinates, are Sr at (0.000, 0.000, 0.000), V at (0.500, 0.500, 0.500), Te at (0.500, 0.500, 0.000) and I at (0.000, 0.500, 0.500).

The calculation puts the density of states at the Fermi level at 2.12 states/eV/cell. Its uncorrected formation energy is -0.650 eV per atom. The value obtained for the raw total energy is -0.14915 hartree per atom. Its offset from the most stable computed form is 0.000 eV per atom.


Material: SrVTe2I
Method: DFT, GGA-PBE
State: optimized geometry

The space group is P4/mmm (No. 123) and the conventional cell measures 6.220, 6.220 and 6.120 Å, with angles of 90.00, 90.00 and 90.00 degrees. The distinct sites, in fractional coordinates, are Sr at (0.000, 0.000, 0.000), V at (0.500, 0.500, 0.500), Te at (0.000, 0.500, 0.000) and I at (0.000, 0.000, 0.500).

The calculation puts the density of states at the Fermi level at 11.09 states/eV/cell. Its uncorrected formation energy is 0.426 eV per atom. The value obtained for the raw total energy is -0.12132 hartree per atom. Its offset from the most stable computed form is 1.019 eV per atom.


Material: SrTe2WI
Method: DFT, GGA-PBE
State: optimized geometry

The space group is P4/mmm (No. 123) and the conventional cell measures 6.272, 6.272 and 6.035 Å, with angles of 90.00, 90.00 and 90.00 degrees. The distinct sites, in fractional coordinates, are Sr at (0.000, 0.000, 0.000), Te at (0.000, 0.500, 0.000), W at (0.500, 0.500, 0.500) and I at (0.000, 0.000, 0.500).

The calculation puts the density of states at the Fermi level at 3.77 states/eV/cell. Its uncorrected formation energy is 1.142 eV per atom. The value obtained for the raw total energy is -0.12319 hartree per atom. Its offset from the most stable computed form is 1.208 eV per atom.


Material: SrTe2WI
Method: DFT, GGA-PBE
State: optimized geometry

The space group is P4/mmm (No. 123) and the conventional cell measures 5.317, 5.317 and 5.879 Å, with angles of 90.00, 90.00 and 90.00 degrees. The distinct sites, in fractional coordinates, are Sr at (0.000, 0.000, 0.000), Te at (0.000, 0.500, 0.500), W at (0.500, 0.500, 0.500) and I at (0.500, 0.500, 0.000).

The calculation puts the density of states at the Fermi level at 1.45 states/eV/cell. Its uncorrected formation energy is -0.066 eV per atom. The value obtained for the raw total energy is -0.16756 hartree per atom. Its offset from the most stable computed form is 0.000 eV per atom.


Material: SrTeWI2
Method: DFT, GGA-PBE
State: optimized geometry

The space group is P4/mmm (No. 123) and the conventional cell measures 6.166, 6.166 and 6.529 Å, with angles of 90.00, 90.00 and 90.00 degrees. The distinct sites, in fractional coordinates, are Sr at (0.000, 0.000, 0.000), Te at (0.000, 0.000, 0.500), W at (0.500, 0.500, 0.500) and I at (0.000, 0.500, 0.000).

The calculation puts the density of states at the Fermi level at 8.75 states/eV/cell. Its uncorrected formation energy is 0.859 eV per atom. The value obtained for the raw total energy is -0.12187 hartree per atom. Its offset from the most stable computed form is 0.845 eV per atom.


Material: SrTeW2I
Method: DFT, GGA-PBE
State: optimized geometry

The space group is P4/mmm (No. 123) and the conventional cell measures 4.974, 4.974 and 7.032 Å, with angles of 90.00, 90.00 and 90.00 degrees. The distinct sites, in fractional coordinates, are Sr at (0.000, 0.000, 0.000), Te at (0.500, 0.500, 0.500), W at (0.000, 0.500, 0.500) and I at (0.500, 0.500, 0.000).

The calculation puts the density of states at the Fermi level at 3.67 states/eV/cell. Its uncorrected formation energy is 1.451 eV per atom. The value obtained for the raw total energy is -0.18391 hartree per atom.